Below is an optimized crystal structure of FeHIO2, with properties calculated at the PBE+U level.

abc: 3.635 3.635 6.589
angles: 90.00 90.00 90.00
Positions (direct):
Fe (0.000, 0.000, 0.000)
H (0.500, 0.500, 0.500)
I (0.000, 0.000, 0.500)
O (0.000, 0.500, 0.000)
O (0.500, 0.000, 0.000)

Calculated values
V ... 17.41 Å³/atom
Density of states at the Fermi level ... 2.77 states/eV per cell
ΔE to the lowest computed polymorph ... 0.0 meV per atom
DFT total energy ... -4.08 eV/atom